No. 1
Sr3CaSm3S8, relaxed, DFT PBE-GGA; final energy = -85.3 eV for the cell shown; uncorrected formation energy = -2.0731 eV/atom; theoretical density = 4.22 g cm⁻³; magnetic moment = 0.000 Bohr magnetons per cell; volume = 26.5 Å³/atom; crystal system = trigonal
1.0
-3.564 7.228 -1.341
-0.951 -3.752 7.196
7.411 3.294 -1.941
Sr Ca Sm S
3 1 3 8
Direct
0.000 0.000 0.000
0.000 0.500 0.000
0.500 0.500 0.000
0.000 0.000 0.500
0.500 0.000 0.500
0.500 0.500 0.500
0.000 0.500 0.500
0.255 0.510 0.265
0.745 0.490 0.735
0.757 0.514 0.272
0.243 0.486 0.728
0.757 0.015 0.272
0.243 0.985 0.728
0.258 0.015 0.272
0.742 0.985 0.728

=====

No. 2
Rb2YAgCl6, relaxed, DFT PBE-GGA; final energy = -40.4 eV for the cell shown; uncorrected formation energy = -1.8108 eV/atom; theoretical density = 3.09 g cm⁻³; energy relative to the lowest polymorph listed for this composition = 13 meV/atom; magnetic moment = 0.000 Bohr magnetons per cell; volume = 31.2 Å³/atom; crystal system = cubic
1.0
7.611 0.000 0.000
3.806 6.592 0.000
3.806 2.197 6.215
Rb Y Ag Cl
2 1 1 6
Direct
0.750 0.750 0.750
0.250 0.250 0.250
0.500 0.500 0.500
0.000 0.000 0.000
0.745 0.255 0.255
0.255 0.255 0.745
0.255 0.745 0.745
0.255 0.745 0.255
0.745 0.255 0.745
0.745 0.745 0.255

=====

No. 3
ErThCBr, relaxed, DFT PBE-GGA; final energy = -26.4 eV for the cell shown; uncorrected formation energy = -0.8849 eV/atom; theoretical density = 9.41 g cm⁻³; magnetic moment = 0.000 Bohr magnetons per cell; volume = 21.7 Å³/atom; crystal system = monoclinic
1.0
3.639 -0.006 0.001
-1.824 3.156 0.000
-1.815 -1.048 7.554
Er Th C Br
1 1 1 1
Direct
0.514 0.155 0.685
0.088 0.942 0.046
0.292 0.544 0.852
0.983 0.389 0.387